(1)
The following is a DFT calculation (PBE+U) of PuCoTeO6 after structural relaxation.

The structure in POSCAR format:
```
PuCoTeO6
1.0
-5.091 1.739 -1.455
2.641 -3.799 -3.108
-3.601 -6.476 4.858
O Te Co Pu
12 2 2 2
Cartesian
0.376 -4.917 -0.278
-6.449 -6.413 0.749
-2.062 -5.027 -2.232
-3.989 -3.509 2.528
-4.002 -6.316 2.693
-6.427 -3.619 0.573
0.451 -4.018 -2.941
0.398 -2.123 -0.454
-6.502 -4.518 3.236
-3.919 -5.410 0.046
-2.050 -2.221 -2.398
-2.133 -3.127 0.249
-2.637 -6.810 1.087
-3.414 -1.726 -0.791
0.000 0.000 0.000
-1.800 -3.238 2.429
-0.837 -3.572 -1.342
-5.215 -4.964 1.637
```

D(E_F): 12.704 states/eV per cell
Symmetry: No. 163
VASP energy: -7.33 eV/atom


(2)
The following is a DFT calculation (PBE+U) of PuTiCoO6 after structural relaxation.

The structure in POSCAR format:
```
PuTiCoO6
1.0
5.313 0.000 0.000
-2.656 4.601 0.000
0.000 0.000 8.865
Pu O Ti Co
2 12 2 2
Cartesian
0.000 3.067 2.216
2.656 1.534 6.649
3.478 0.057 3.258
3.524 2.983 3.258
0.822 4.544 7.691
0.967 1.560 3.258
0.868 1.618 7.691
1.789 2.983 1.175
1.689 3.041 5.607
-0.868 1.618 5.607
4.346 1.560 1.175
-1.689 3.041 7.691
1.835 0.057 1.175
-0.822 4.544 5.607
0.000 3.067 6.649
2.656 1.534 2.216
0.000 0.000 4.433
0.000 0.000 0.000
```

D(E_F): 11.966 states/eV per cell
Symmetry: No. 163
VASP energy: -8.59 eV/atom


(3)
The following is a DFT calculation (PBE+U) of PuTl3Co2O6 after structural relaxation.

The structure in POSCAR format:
```
PuTl3Co2O6
1.0
5.603 -0.002 0.013
-2.802 4.852 0.013
-0.938 -1.624 6.680
Tl Co O Pu
3 2 6 1
Cartesian
-1.854 3.222 3.353
0.932 1.613 3.353
3.717 0.004 3.353
2.801 1.616 0.013
0.000 3.234 0.013
1.841 -0.004 1.090
2.786 1.633 5.617
1.877 3.251 1.107
-0.014 -0.025 5.600
-0.923 1.593 1.090
0.022 3.230 5.617
0.000 0.000 0.000
```

D(E_F): 8.842 states/eV per cell
Symmetry: No. 12
VASP energy: -6.41 eV/atom


(4)
The following is a DFT calculation (PBE+U) of PuTlCo2O8 after structural relaxation.

The structure in POSCAR format:
```
PuTlCo2O8
1.0
5.899 0.280 0.000
-2.365 5.412 0.000
-1.767 -2.846 4.864
Co O Tl Pu
2 8 1 1
Cartesian
2.950 0.140 2.432
1.767 2.846 0.000
0.160 -1.660 3.853
3.326 3.439 1.011
-0.159 1.660 3.853
4.329 0.758 1.586
0.208 2.253 1.011
3.008 -1.370 3.278
2.892 1.650 3.278
1.571 -0.478 1.586
0.000 0.000 0.000
-1.183 2.706 2.432
```

D(E_F): 5.505 states/eV per cell
Symmetry: No. 119
VASP energy: -6.67 eV/atom


(5)
The following is a DFT calculation (PBE+U) of PuTl2CoO8 after structural relaxation.

The structure in POSCAR format:
```
PuTl2CoO8
1.0
5.061 -0.149 -0.002
-0.150 5.042 -0.006
0.004 0.008 6.555
Co O Tl Pu
1 8 2 1
Cartesian
0.002 0.004 3.277
0.752 4.130 5.011
0.750 4.126 1.533
1.347 1.329 3.275
4.163 0.775 5.013
1.472 1.436 -0.002
3.567 3.572 3.271
4.161 0.771 1.535
3.442 3.465 6.549
2.456 2.449 1.702
2.458 2.452 4.844
0.000 0.000 0.000
```

D(E_F): 0.920 states/eV per cell
Symmetry: No. 10
VASP energy: -6.54 eV/atom


(6)
The following is a DFT calculation (PBE+U) of Pu2Tl3CoO9 after structural relaxation.

The structure in POSCAR format:
```
Pu2Tl3CoO9
1.0
5.968 0.000 0.000
-2.984 5.168 0.000
0.000 0.000 7.339
O Pu Co Tl
9 2 1 3
Cartesian
2.984 3.385 4.938
4.423 0.892 4.938
1.492 2.584 0.000
-1.492 2.584 0.000
1.545 0.892 4.938
0.000 1.783 2.402
2.984 0.000 0.000
1.439 4.277 2.402
-1.439 4.277 2.402
0.000 3.446 1.272
2.984 1.723 6.067
0.000 0.000 3.670
0.000 3.446 4.812
0.000 0.000 0.000
2.984 1.723 2.527
```

D(E_F): 6.137 states/eV per cell
Symmetry: No. 164
VASP energy: -7.37 eV/atom


(7)
The following is a DFT calculation (PBE+U) of TmPuCoO6 after structural relaxation.

The structure in POSCAR format:
```
TmPuCoO6
1.0
-2.772 -3.801 2.986
3.337 -1.617 -4.160
6.733 -0.511 5.599
O Co Tm Pu
12 2 2 2
Cartesian
6.150 -2.257 4.378
1.148 -3.673 0.048
7.320 -4.469 2.769
5.333 -1.005 2.130
6.568 -3.129 0.451
1.964 -4.925 2.296
8.039 -1.647 2.162
-0.742 -4.283 2.264
2.606 -2.064 1.786
0.730 -2.801 3.975
4.691 -3.865 2.640
-0.022 -1.461 1.657
3.366 -0.256 2.800
0.000 0.000 0.000
4.314 -3.457 4.804
2.984 -2.473 -0.378
0.947 -3.201 2.004
6.350 -2.729 2.422
```

Symmetry: No. 163
VASP energy: -8.23 eV/atom


(8)
The following is a DFT calculation (PBE+U) of PuUCoO6 after structural relaxation.

The structure in POSCAR format:
```
PuUCoO6
1.0
-5.171 2.432 0.729
1.507 -4.568 3.170
3.371 5.340 6.093
O Co Pu U
12 2 2 2
Cartesian
1.693 3.858 6.642
-1.986 -0.654 3.350
-4.158 1.563 2.608
-2.159 3.519 2.751
-2.901 1.400 5.018
1.055 1.690 8.895
1.867 -0.315 7.241
-0.061 1.260 3.570
-1.348 1.514 1.097
-0.232 1.944 6.421
3.865 1.641 7.383
2.608 1.804 4.973
0.000 0.000 0.000
1.686 2.670 3.047
0.124 -0.900 3.879
-0.417 4.104 6.112
1.809 1.770 6.926
-2.102 1.434 3.066
```

D(E_F): 33.292 states/eV per cell
Symmetry: No. 163
VASP energy: -9.05 eV/atom